A plane-wave DFT calculation with PBE was carried out for a relaxed structure of MoPt3.

Cell lengths 2.823, 2.823, 9.093 Å; angles 90.00, 90.00, 120.00 degrees
Sites, in units of the cell vectors:
Mo (0.000, 0.000, 0.000)
Pt (0.000, 0.000, 0.500)
Pt (0.333, 0.667, 0.238)
Pt (0.333, 0.667, 0.762)

Calculated values
calculated density = 18.0 g/cm3
space-group type = P-6m2, No. 187
energy relative to the elements = -4.48 kcal/mol of atoms



A plane-wave DFT calculation with PBE was carried out for a relaxed structure of NaSrTl.

Cell lengths 8.399, 8.399, 5.215 Å; angles 90.00, 90.00, 120.00 degrees
Sites, in units of the cell vectors:
Na (0.000, 0.239, 0.000)
Na (0.239, 0.000, 0.000)
Na (0.761, 0.761, 0.000)
Sr (0.000, 0.581, 0.500)
Sr (0.419, 0.419, 0.500)
Sr (0.581, 0.000, 0.500)
Tl (0.000, 0.000, 0.500)
Tl (0.333, 0.667, 0.000)
Tl (0.667, 0.333, 0.000)

Calculated values
calculated density = 4.9 g/cm3
space-group type = P-62m, No. 189
energy relative to the elements = -4.94 kcal/mol of atoms



A plane-wave DFT calculation with PBE was carried out for a relaxed structure of Ho2Be3Pt4Au.

Cell lengths 3.959, 3.959, 10.539 Å; angles 90.00, 90.00, 90.00 degrees
Sites, in units of the cell vectors:
Ho (0.000, 0.500, 0.238)
Ho (0.500, 0.000, 0.762)
Be (0.000, 0.500, 0.887)
Be (0.500, 0.000, 0.113)
Be (0.500, 0.500, 0.500)
Pt (0.000, 0.000, 0.000)
Pt (0.000, 0.500, 0.674)
Pt (0.500, 0.000, 0.326)
Pt (0.500, 0.500, 0.000)
Au (0.000, 0.000, 0.500)

Calculated values
calculated density = 13.4 g/cm3
space-group type = P-4m2, No. 115
energy relative to the elements = -19.49 kcal/mol of atoms



A plane-wave DFT calculation with PBE was carried out for a relaxed structure of ScCo.

Cell lengths 3.941, 3.941, 3.941 Å; angles 60.00, 60.00, 60.00 degrees
Sites, in units of the cell vectors:
Sc (0.000, 0.000, 0.000)
Co (0.750, 0.750, 0.750)

Calculated values
calculated density = 4.0 g/cm3
space-group type = F-43m, No. 216
energy relative to the elements = 21.31 kcal/mol of atoms



What is the energy relative to the elements in the second record?
-4.94 kcal/mol of atoms



What is the energy relative to the elements in the third record?
-19.49 kcal/mol of atoms



Among the records above, which one has the lowest calculated density?
ScCo